# 1
# PmNd3Ru (PBE, optimized geometry)
# * energy: -5.81 eV per atom
# * offset from the most stable computed form: 0 meV/atom
# * energy of formation: -0.149 eV per atom
data_PmNd3Ru
_chemical_formula_sum 'Pm4 Nd12 Ru4'
_cell_length_a 12.138
_cell_length_b 8.763
_cell_length_c 8.466
_cell_angle_alpha 90.00
_cell_angle_beta 134.10
_cell_angle_gamma 90.00
_space_group_name_H-M_alt 'C 1 2/m 1'
_space_group_IT_number 12
loop_
_space_group_symop_operation_xyz
'x,y,z'
'-x,-y,-z'
'-x,y,-z'
'x,-y,z'
'x+1/2,y+1/2,z'
'-x+1/2,-y+1/2,-z'
'-x+1/2,y+1/2,-z'
'x+1/2,-y+1/2,z'
loop_
_atom_site_label
_atom_site_type_symbol
_atom_site_fract_x
_atom_site_fract_y
_atom_site_fract_z
Pm1 Pm 0.050 0.000 0.254
Nd1 Nd 0.050 0.500 0.343
Nd2 Nd 0.249 0.200 0.793
Ru1 Ru 0.249 0.000 0.128

***

# 2
# Sr2Li15Ca2 (PBE, optimized geometry)
# * energy: -1.87 eV per atom
# * energy of formation: 0.029 eV per atom
data_Sr2Li15Ca2
_chemical_formula_sum 'Sr6 Li45 Ca6'
_cell_length_a 10.6391
_cell_length_b 10.6391
_cell_length_c 15.5234
_cell_angle_alpha 90.00
_cell_angle_beta 90.00
_cell_angle_gamma 120.00
_space_group_name_H-M_alt 'R -3 m'
_space_group_IT_number 166
_space_group_name_Hall '-R 3 2"'
loop_
_atom_site_label
_atom_site_type_symbol
_atom_site_fract_x
_atom_site_fract_y
_atom_site_fract_z
Sr1 Sr 0.0000 0.0000 0.1454
Li1 Li 0.0000 0.3008 0.5000
Li2 Li 0.0000 0.5000 0.0000
Li3 Li 0.0053 0.5027 0.6524
Ca1 Ca 0.0000 0.0000 0.3907